Computed, not measured: a geometry-optimized CsErCo2F8 structure at the GGA+U level of DFT.

Structure (CIF):
```
data_CsErCo2F8
_cell_length_a 4.919
_cell_length_b 4.926
_cell_length_c 8.726
_cell_angle_alpha 92.08
_cell_angle_beta 93.37
_cell_angle_gamma 92.37
_symmetry_space_group_name_H-M 'P -1'
_symmetry_Int_Tables_number 2
loop_
_symmetry_equiv_pos_as_xyz
'x,y,z'
'-x,-y,-z'
loop_
_atom_site_label
_atom_site_type_symbol
_atom_site_fract_x
_atom_site_fract_y
_atom_site_fract_z
Cs1 Cs 0.000 0.000 0.000
Er1 Er 0.000 0.000 0.500
Co1 Co 0.488 0.485 0.314
F1 F 0.172 0.236 0.325
F2 F 0.216 0.238 0.685
F3 F 0.330 0.712 0.485
F4 F 0.422 0.686 0.865
```

Summary:
Fermi-level density of states   0.0 states/eV/cell
Final energy   -0.384 Ry/atom

Computed, not measured: a geometry-optimized Cs2ErCo3F12 structure at the GGA+U level of DFT.

Structure (CIF):
```
data_Cs2ErCo3F12
_cell_length_a 7.5076
_cell_length_b 7.5076
_cell_length_c 19.0264
_cell_angle_alpha 90.00
_cell_angle_beta 90.00
_cell_angle_gamma 120.00
_symmetry_space_group_name_H-M 'R -3 m'
_symmetry_Int_Tables_number 166
_symmetry_space_group_name_Hall '-R 3 2"'
loop_
_atom_site_label
_atom_site_type_symbol
_atom_site_fract_x
_atom_site_fract_y
_atom_site_fract_z
Cs1 Cs 0.0000 0.0000 0.1116
Er1 Er 0.0000 0.0000 0.5000
Co1 Co 0.0000 0.5000 0.0000
F1 F 0.0529 0.5265 0.1056
F2 F 0.0723 0.5361 0.3472
```

Summary:
Fermi-level density of states   32.0 states/eV/cell
Final energy   -0.380 Ry/atom

Computed, not measured: a geometry-optimized Cs2ErCoO4 structure at the GGA+U level of DFT.

Structure (CIF):
```
data_Cs2ErCoO4
_cell_length_a 5.629
_cell_length_b 12.916
_cell_length_c 23.214
_cell_angle_alpha 90.00
_cell_angle_beta 90.00
_cell_angle_gamma 90.00
_symmetry_space_group_name_H-M 'F d d d'
_symmetry_Int_Tables_number 70
loop_
_symmetry_equiv_pos_as_xyz
'x,y,z'
'-x,-y,-z'
'-x+1/4,-y+1/4,z'
'x+1/4,y+1/4,-z'
'x,-y+1/4,-z+1/4'
'-x,y+1/4,z+1/4'
'-x+1/4,y,-z+1/4'
'x+1/4,-y,z+1/4'
'x,y+1/2,z+1/2'
'-x,-y+1/2,-z+1/2'
'-x+1/4,-y+3/4,z+1/2'
'x+1/4,y+3/4,-z+1/2'
'x,-y+3/4,-z+3/4'
'-x,y+3/4,z+3/4'
'-x+1/4,y+1/2,-z+3/4'
'x+1/4,-y+1/2,z+3/4'
'x+1/2,y,z+1/2'
'-x+1/2,-y,-z+1/2'
'-x+3/4,-y+1/4,z+1/2'
'x+3/4,y+1/4,-z+1/2'
'x+1/2,-y+1/4,-z+3/4'
'-x+1/2,y+1/4,z+3/4'
'-x+3/4,y,-z+3/4'
'x+3/4,-y,z+3/4'
'x+1/2,y+1/2,z'
'-x+1/2,-y+1/2,-z'
'-x+3/4,-y+3/4,z'
'x+3/4,y+3/4,-z'
'x+1/2,-y+3/4,-z+1/4'
'-x+1/2,y+3/4,z+1/4'
'-x+3/4,y+1/2,-z+1/4'
'x+3/4,-y+1/2,z+1/4'
loop_
_atom_site_label
_atom_site_type_symbol
_atom_site_fract_x
_atom_site_fract_y
_atom_site_fract_z
Cs1 Cs 0.125 0.125 0.306
Er1 Er 0.125 0.125 0.125
Co1 Co 0.125 0.125 0.625
O1 O 0.099 0.289 0.836
```

Summary:
Final energy   -0.412 Ry/atom

Computed, not measured: a geometry-optimized Cs3CoF structure at the GGA+U level of DFT.

Structure (CIF):
```
data_Cs3CoF
_cell_length_a 6.056
_cell_length_b 6.056
_cell_length_c 6.056
_cell_angle_alpha 90.00
_cell_angle_beta 90.00
_cell_angle_gamma 90.00
_symmetry_space_group_name_H-M 'P m -3 m'
_symmetry_Int_Tables_number 221
_symmetry_space_group_name_Hall '-P 4 2 3'
loop_
_atom_site_label
_atom_site_type_symbol
_atom_site_fract_x
_atom_site_fract_y
_atom_site_fract_z
Cs1 Cs 0.000 0.000 0.500
Co1 Co 0.500 0.500 0.500
F1 F 0.000 0.000 0.000
```

Summary:
ΔE to the lowest computed polymorph   0 meV per atom
Fermi-level density of states   3.2 states/eV/cell